A PBEsol-optimized structure of Cr3CuBr. Source: the Alexandria database, functional SCAN.

Cell lengths 4.256, 4.256, 4.256 Å; angles 90.00, 90.00, 90.00 degrees
Space group Pm-3m (No. 221)
One atom of each set of equivalent atoms:
Cr 0.000 0.000 0.500 (multiplicity 3)
Cu 0.500 0.500 0.500 (multiplicity 1)
Br 0.000 0.000 0.000 (multiplicity 1)

Computed properties:
The calculation puts the energy above the most stable polymorph in this dataset at 913.1 meV per atom. Its magnetic moment is 0.00 μB/f.u. The total DFT energy (no corrections) comes out at -81.0 eV/f.u. The crystal system is cubic. The value obtained for the formation energy from raw total energies is 1.768 eV/atom. As for the calculated volume: 77.1 Å³ per cell.